No. 1
This record from Alexandria via LeMat-Bulk describes crystalline PmBeGe2 at its relaxed geometry. The functional is GGA-PBE.

E_tot	-0.173	Ha/atom
space group	R-3m, No. 166
D(E_F)	2.1	states/eV/f.u.

Lattice parameters (Å, degrees): 4.1677 4.1677 5.6201 68.24 68.24 60.00
With the nearest neighbours (Å) after each atom.
Fractional positions:
Be1 0.0000 0.0000 0.0000  6 Ge 2.50
Ge1 0.7120 0.7120 0.8641  3 Be 2.50, 3 Ge 2.77
Ge2 0.2880 0.2880 0.1359  3 Be 2.50, 3 Ge 2.77
Pm1 0.5000 0.5000 0.5000  8 Ge 3.03-3.23



No. 2
This record from Alexandria via LeMat-Bulk describes crystalline Pm3BeGe2 at its relaxed geometry. The functional is GGA-PBE.

E_tot	-0.190	Ha/atom
space group	Pnma, No. 62
D(E_F)	4.6	states/eV/f.u.

Lattice parameters (Å, degrees): 4.1429 11.8301 11.7206 90.00 90.00 90.00
With the nearest neighbours (Å) after each atom.
Fractional positions:
Pm1 0.2500 0.3815 0.0663  1 Be 3.00, 5 Ge 3.04-3.33
Pm2 0.7500 0.6185 0.9337  1 Be 3.00, 5 Ge 3.04-3.33
Pm3 0.7500 0.8815 0.4337  1 Be 3.00, 5 Ge 3.04-3.33
Pm4 0.2500 0.1185 0.5663  1 Be 3.00, 5 Ge 3.04-3.33
Pm5 0.2500 0.7045 0.2006  2 Be 2.93, 4 Ge 3.04-3.10
Pm6 0.7500 0.2955 0.7994  2 Be 2.93, 4 Ge 3.04-3.10
Pm7 0.7500 0.2045 0.2994  2 Be 2.93, 4 Ge 3.04-3.10
Pm8 0.2500 0.7955 0.7006  2 Be 2.93, 4 Ge 3.04-3.10
Pm9 0.2500 0.4404 0.3819  5 Ge 3.02-3.13, 3 Be 3.12-3.13
Pm10 0.7500 0.5596 0.6181  5 Ge 3.02-3.13, 3 Be 3.12-3.13
Pm11 0.7500 0.9404 0.1181  5 Ge 3.02-3.13, 3 Be 3.12-3.13
Pm12 0.2500 0.0596 0.8819  5 Ge 3.02-3.13, 3 Be 3.12-3.13
Be1 0.2500 0.1380 0.1364  3 Ge 2.41-2.43
Be2 0.7500 0.8620 0.8636  3 Ge 2.41-2.43
Be3 0.7500 0.6380 0.3636  3 Ge 2.41-2.43
Be4 0.2500 0.3620 0.6364  3 Ge 2.41-2.43
Ge1 0.2500 0.6833 0.4619  2 Be 2.43
Ge2 0.7500 0.3167 0.5381  2 Be 2.43
Ge3 0.7500 0.1833 0.0381  2 Be 2.43
Ge4 0.2500 0.8167 0.9619  2 Be 2.43
Ge5 0.2500 0.0166 0.3013  1 Be 2.41
Ge6 0.7500 0.9834 0.6987  1 Be 2.41
Ge7 0.7500 0.5166 0.1987  1 Be 2.41
Ge8 0.2500 0.4834 0.8013  1 Be 2.41



No. 3
This record from Alexandria via LeMat-Bulk describes crystalline PmBeGe2 at its relaxed geometry. The functional is GGA-PBE.

E_tot	-0.177	Ha/atom
space group	P-1, No. 2
D(E_F)	1.1	states/eV/f.u.

Lattice parameters (Å, degrees): 4.1512 6.5314 8.1768 133.02 104.62 90.81
With the nearest neighbours (Å) after each atom.
Fractional positions:
Pm1 0.6707 0.6122 0.9192  8 Ge 3.00-3.25, 2 Be 3.04-3.06
Pm2 0.9900 0.9473 0.5517  8 Ge 3.00-3.25, 2 Be 3.05-3.06
Be1 0.2370 0.0355 0.0275  4 Ge 2.33-2.48, 1 Be 2.48
Be2 0.4245 0.5243 0.4435  4 Ge 2.33-2.48, 1 Be 2.48
Ge1 0.3968 0.0668 0.3395  2 Be 2.33-2.48
Ge2 0.0013 0.5088 0.5892  3 Be 2.39-2.64
Ge3 0.6596 0.0507 0.8816  3 Be 2.39-2.63
Ge4 0.2636 0.4927 0.1314  2 Be 2.33-2.48



No. 4
This record from Alexandria via LeMat-Bulk describes crystalline PmBeGe2 at its relaxed geometry. The functional is GGA-PBE.

E_tot	-0.170	Ha/atom
space group	P4/mmm, No. 123
D(E_F)	1.6	states/eV/f.u.

Lattice parameters (Å, degrees): 4.1676 4.2742 4.2742 90.00 90.00 90.00
With the nearest neighbours (Å) after each atom.
Fractional positions:
Be1 0.5000 0.0000 0.0000  8 Ge 2.98, 4 Pm 3.02
Ge1 0.0000 0.0000 0.5000  4 Be 2.98, 4 Pm 2.98, 4 Ge 3.02
Ge2 0.0000 0.5000 0.0000  4 Be 2.98, 4 Pm 2.98, 4 Ge 3.02
Pm1 0.5000 0.5000 0.5000  8 Ge 2.98, 4 Be 3.02



Please write out number 4 again, unchanged.
This record from Alexandria via LeMat-Bulk describes crystalline PmBeGe2 at its relaxed geometry. The functional is GGA-PBE.

E_tot	-0.170	Ha/atom
space group	P4/mmm, No. 123
D(E_F)	1.6	states/eV/f.u.

Lattice parameters (Å, degrees): 4.1676 4.2742 4.2742 90.00 90.00 90.00
With the nearest neighbours (Å) after each atom.
Fractional positions:
Be1 0.5000 0.0000 0.0000  8 Ge 2.98, 4 Pm 3.02
Ge1 0.0000 0.0000 0.5000  4 Be 2.98, 4 Pm 2.98, 4 Ge 3.02
Ge2 0.0000 0.5000 0.0000  4 Be 2.98, 4 Pm 2.98, 4 Ge 3.02
Pm1 0.5000 0.5000 0.5000  8 Ge 2.98, 4 Be 3.02



What did the second record say?
This record from Alexandria via LeMat-Bulk describes crystalline Pm3BeGe2 at its relaxed geometry. The functional is GGA-PBE.

E_tot	-0.190	Ha/atom
space group	Pnma, No. 62
D(E_F)	4.6	states/eV/f.u.

Lattice parameters (Å, degrees): 4.1429 11.8301 11.7206 90.00 90.00 90.00
With the nearest neighbours (Å) after each atom.
Fractional positions:
Pm1 0.2500 0.3815 0.0663  1 Be 3.00, 5 Ge 3.04-3.33
Pm2 0.7500 0.6185 0.9337  1 Be 3.00, 5 Ge 3.04-3.33
Pm3 0.7500 0.8815 0.4337  1 Be 3.00, 5 Ge 3.04-3.33
Pm4 0.2500 0.1185 0.5663  1 Be 3.00, 5 Ge 3.04-3.33
Pm5 0.2500 0.7045 0.2006  2 Be 2.93, 4 Ge 3.04-3.10
Pm6 0.7500 0.2955 0.7994  2 Be 2.93, 4 Ge 3.04-3.10
Pm7 0.7500 0.2045 0.2994  2 Be 2.93, 4 Ge 3.04-3.10
Pm8 0.2500 0.7955 0.7006  2 Be 2.93, 4 Ge 3.04-3.10
Pm9 0.2500 0.4404 0.3819  5 Ge 3.02-3.13, 3 Be 3.12-3.13
Pm10 0.7500 0.5596 0.6181  5 Ge 3.02-3.13, 3 Be 3.12-3.13
Pm11 0.7500 0.9404 0.1181  5 Ge 3.02-3.13, 3 Be 3.12-3.13
Pm12 0.2500 0.0596 0.8819  5 Ge 3.02-3.13, 3 Be 3.12-3.13
Be1 0.2500 0.1380 0.1364  3 Ge 2.41-2.43
Be2 0.7500 0.8620 0.8636  3 Ge 2.41-2.43
Be3 0.7500 0.6380 0.3636  3 Ge 2.41-2.43
Be4 0.2500 0.3620 0.6364  3 Ge 2.41-2.43
Ge1 0.2500 0.6833 0.4619  2 Be 2.43
Ge2 0.7500 0.3167 0.5381  2 Be 2.43
Ge3 0.7500 0.1833 0.0381  2 Be 2.43
Ge4 0.2500 0.8167 0.9619  2 Be 2.43
Ge5 0.2500 0.0166 0.3013  1 Be 2.41
Ge6 0.7500 0.9834 0.6987  1 Be 2.41
Ge7 0.7500 0.5166 0.1987  1 Be 2.41
Ge8 0.2500 0.4834 0.8013  1 Be 2.41



What is the D(E_F) in the second record?
4.6 states/eV/f.u.



Which value of E_tot does entry 3 give?
-0.177 Ha/atom